Computed, not measured: a geometry-optimized K3Tb3ZnTe8 structure at the GGA-PBE level of DFT.

## Properties
Space-group type: C2/m (12)
ρ in g/cm3: 4.95
Total DFT energy (no corrections) in eV/cell: -59.17

Geometry as POSCAR:
```
K3Tb3ZnTe8
1.0
8.8365 0.0000 0.0000
-4.4183 7.5300 -0.0090
0.0000 -4.9543 8.4725
K Tb Zn Te
3 3 1 8
Direct
0.0000 0.0000 0.0000 K
0.0000 0.5000 0.0000 K
0.5000 0.5000 0.0000 K
0.5000 0.0000 0.5000 Tb
0.5000 0.5000 0.5000 Tb
0.0000 0.5000 0.5000 Tb
0.0000 0.0000 0.5000 Zn
0.2607 0.5215 0.2877 Te
0.7393 0.4785 0.7123 Te
0.8026 0.6052 0.3225 Te
0.1974 0.3948 0.6775 Te
0.7282 0.0388 0.2687 Te
0.2718 0.9612 0.7313 Te
0.3106 0.0388 0.2687 Te
0.6894 0.9612 0.7313 Te
```